# BaTc3

A crystal of BaTc3 relaxed with PBEsol (SCAN, Alexandria).

a b c (Å): 2.9422 3.5216 7.7284
angles (deg): 90.00 90.00 90.00
Closest atoms and distances in Å follow each position.
Element x y z (fractional)
Tc: 0.5000 0.5000 0.3406  5 Tc 2.46-2.60
Tc: 0.0000 0.0000 0.5000  8 Tc 2.60
Tc: 0.5000 0.5000 0.6594  5 Tc 2.46-2.60
Ba: 0.0000 0.0000 0.0000  2 Ba 2.94

Output
Relative energy among the computed polymorphs, meV per atom: 0.0
Space group: No. 47
Formation enthalpy at 0 K, meV per atom: 703

# BaTc

A crystal of BaTc relaxed with PBEsol (SCAN, Alexandria).

a b c (Å): 3.4416 3.4416 9.8676
angles (deg): 90.00 90.00 90.00
Closest atoms and distances in Å follow each position.
Element x y z (fractional)
Ba: 0.0000 0.5000 0.7959  1 Tc 3.17, 4 Ba 3.44
Ba: 0.5000 0.0000 0.2041  1 Tc 3.17, 4 Ba 3.44
Tc: 0.0000 0.5000 0.4745  4 Tc 2.49
Tc: 0.5000 0.0000 0.5255  4 Tc 2.49

Output
Relative energy among the computed polymorphs, meV per atom: 0.0
Space group: No. 129
Formation enthalpy at 0 K, meV per atom: 545

# Ba2Tc

A crystal of Ba2Tc relaxed with PBEsol (SCAN, Alexandria).

a b c (Å): 3.6452 5.2636 5.2636
angles (deg): 120.00 90.00 90.00
Closest atoms and distances in Å follow each position.
Element x y z (fractional)
Ba: 0.7323 0.3333 0.6667  3 Tc 3.19, 3 Ba 3.48
Ba: 0.2677 0.6667 0.3333  3 Tc 3.19, 3 Ba 3.48
Tc: 0.0000 0.0000 0.0000  6 Ba 3.19

Output
Relative energy among the computed polymorphs, meV per atom: 308.6
Space group: No. 164
Formation enthalpy at 0 K, meV per atom: 1037

# Ba2Tc

A crystal of Ba2Tc relaxed with PBEsol (SCAN, Alexandria).

a b c (Å): 3.6440 3.6440 7.7955
angles (deg): 103.52 103.52 90.00
Closest atoms and distances in Å follow each position.
Element x y z (fractional)
Ba: 0.3711 0.3711 0.7422  4 Tc 3.20
Ba: 0.6289 0.6289 0.2578  4 Tc 3.20
Tc: 0.0000 0.0000 0.0000  8 Ba 3.20

Output
Relative energy among the computed polymorphs, meV per atom: 181.7
Space group: No. 139
Formation enthalpy at 0 K, meV per atom: 910

# Ba2Tc

A crystal of Ba2Tc relaxed with PBEsol (SCAN, Alexandria).

a b c (Å): 4.8762 6.7755 6.7755
angles (deg): 82.56 68.91 68.91
Closest atoms and distances in Å follow each position.
Element x y z (fractional)
Tc: 0.2500 0.0000 0.0000  2 Tc 2.44
Tc: 0.7500 0.0000 0.0000  2 Tc 2.44
Ba: 0.3396 0.8207 0.5000  2 Ba 3.33, 4 Tc 3.57
Ba: 0.1604 0.5000 0.1793  2 Ba 3.33, 4 Tc 3.57
Ba: 0.8396 0.5000 0.8207  2 Ba 3.33, 4 Tc 3.57
Ba: 0.6604 0.1793 0.5000  2 Ba 3.33, 4 Tc 3.57

Output
Relative energy among the computed polymorphs, meV per atom: 0.0
Space group: No. 140
Formation enthalpy at 0 K, meV per atom: 728

# Ba3Tc

A crystal of Ba3Tc relaxed with PBEsol (SCAN, Alexandria).

a b c (Å): 3.7811 3.7811 10.6407
angles (deg): 90.00 90.00 90.00
Closest atoms and distances in Å follow each position.
Element x y z (fractional)
Tc: 0.5000 0.5000 0.0000  8 Ba 3.25
Ba: 0.5000 0.5000 0.5000  4 Ba 3.78
Ba: 0.0000 0.0000 0.8264  4 Tc 3.25
Ba: 0.0000 0.0000 0.1736  4 Tc 3.25

Output
Space group: No. 123
Formation enthalpy at 0 K, meV per atom: 740